Record 1
First-principles (PBE) data for an optimized crystal structure of PrSm3Y5, as listed in the Alexandria database.

abc: 20.643 6.140 11.542
angles: 90.00 122.23 90.00
Space group C2/c (No. 15)
Symmetry-distinct sites (fractional):
1 Pr 0.000 0.101 0.250
2 Sm 0.000 0.000 0.000
3 Sm 0.182 0.221 0.532
4 Y 0.000 0.414 0.750
5 Y 0.142 0.314 0.143
6 Y 0.179 0.205 0.835

**Fermi-level density of states**: 13.7 states/eV/f.u.
**Calculated formation energy**: 0.304 eV per atom
**Offset from the most stable computed form**: 23.53 kJ/mol of atoms
**Electronic total energy**: -5.392 eV per atom

***

Record 2
First-principles (PBE) data for an optimized crystal structure of HoTi2C2, as listed in the Alexandria database.

abc: 7.044 8.895 5.740
angles: 90.00 127.47 90.00
Space group C2/c (No. 15)
Symmetry-distinct sites (fractional):
1 Ho 0.000 0.125 0.250
2 Ti 0.136 0.376 0.020
3 C 0.000 0.163 0.750
4 C 0.000 0.412 0.250

**Fermi-level density of states**: 3.5 states/eV/f.u.
**Calculated formation energy**: -0.335 eV per atom
**Electronic total energy**: -8.098 eV per atom

***

Record 3
First-principles (PBE) data for an optimized crystal structure of Ba2C, as listed in the Alexandria database.

abc: 4.9122 4.9122 8.4344
angles: 90.00 90.00 120.00
Space group P6_3/mmc (No. 194)
Symmetry-distinct sites (fractional):
1 Ba 0.0000 0.0000 0.0000
2 Ba 0.3333 0.6667 0.2500
3 C 0.3333 0.6667 0.7500

**Fermi-level density of states**: 1.8 states/eV/f.u.
**Calculated formation energy**: 0.925 eV per atom
**Offset from the most stable computed form**: 76.09 kJ/mol of atoms
**Electronic total energy**: -3.432 eV per atom

***

Record 4
First-principles (PBE) data for an optimized crystal structure of SrCa2Se, as listed in the Alexandria database.

abc: 8.292 8.292 8.292
angles: 90.00 90.00 90.00
Space group F-43m (No. 216)
Symmetry-distinct sites (fractional):
1 Sr 0.000 0.000 0.000
2 Ca 0.000 0.000 0.500
3 Ca 0.250 0.250 0.250
4 Se 0.250 0.250 0.750

**Fermi-level density of states**: 3.9 states/eV/f.u.
**Uncorrected formation energy**: -284 meV per atom
**Electronic total energy**: -2.577 eV per atom

***

Record 5
First-principles (PBE) data for an optimized crystal structure of Ba2BiSb, as listed in the Alexandria database.

abc: 8.596 8.596 8.596
angles: 90.00 90.00 90.00
Space group Fm-3m (No. 225)
Symmetry-distinct sites (fractional):
1 Ba 0.250 0.250 0.250
2 Bi 0.000 0.000 0.000
3 Sb 0.000 0.000 0.500

**Fermi-level density of states**: 6.4 states/eV/f.u.
**Uncorrected formation energy**: -767 meV per atom
**Offset from the most stable computed form**: 9.52 kJ/mol of atoms
**Electronic total energy**: -3.729 eV per atom

***

Record 6
First-principles (PBE) data for an optimized crystal structure of BiH2Pb4, as listed in the Alexandria database.

abc: 17.113 5.815 3.475
angles: 90.00 91.08 90.00
Space group C2/m (No. 12)
Symmetry-distinct sites (fractional):
1 Bi 0.000 0.000 0.000
2 H 0.234 0.500 0.998
3 Pb 0.109 0.500 0.979
4 Pb 0.181 0.000 0.490

**Fermi-level density of states**: 3.6 states/eV/f.u.
**Electronic total energy**: -3.381 eV per atom

***

Record 7
First-principles (PBE) data for an optimized crystal structure of BeAg3Ir, as listed in the Alexandria database.

abc: 4.319 4.319 4.319
angles: 90.00 90.00 90.00
Space group Pm-3m (No. 221)
Symmetry-distinct sites (fractional):
1 Be 0.000 0.000 0.000
2 Ag 0.000 0.000 0.500
3 Ir 0.500 0.500 0.500

**Fermi-level density of states**: 2.0 states/eV/f.u.
**Calculated formation energy**: 0.792 eV per atom
**Offset from the most stable computed form**: 0.00 kJ/mol of atoms
**Electronic total energy**: -3.436 eV per atom

***

Record 8
First-principles (PBE) data for an optimized crystal structure of Ba3HgPt2, as listed in the Alexandria database.

abc: 5.678 16.541 4.000
angles: 90.00 90.00 90.00
Space group Cmmm (No. 65)
Symmetry-distinct sites (fractional):
1 Ba 0.000 0.000 0.000
2 Ba 0.000 0.321 0.000
3 Hg 0.000 0.500 0.500
4 Pt 0.000 0.159 0.500

**Fermi-level density of states**: 3.3 states/eV/f.u.
**Calculated formation energy**: -0.604 eV per atom
**Electronic total energy**: -3.629 eV per atom